Model i:
Density functional theory data (PBE-GGA) for an optimized crystal structure of CsGaS3.

Cell lengths 4.9657, 4.9657, 4.9657 Å; angles 90.00, 90.00, 90.00 degrees
Atoms (fractional coordinates):
Cs: 0.5000 0.5000 0.5000
S: 0.0000 0.5000 0.0000
S: 0.0000 0.0000 0.5000
S: 0.5000 0.0000 0.0000
Ga: 0.0000 0.0000 0.0000

Model ii:
Density functional theory data (PBE-GGA) for an optimized crystal structure of CsGaS3.

Cell lengths 12.7487, 6.6353, 7.7910 Å; angles 75.24, 90.00, 90.00 degrees
Atoms (fractional coordinates):
Cs: 0.0843 0.7148 0.2524
Cs: 0.4157 0.2148 0.2524
Cs: 0.5843 0.7852 0.7476
Cs: 0.9157 0.2852 0.7476
Ga: 0.2310 0.6779 0.8026
Ga: 0.7310 0.8221 0.1974
Ga: 0.2690 0.1779 0.8026
Ga: 0.7690 0.3221 0.1974
S: 0.6791 0.1396 0.0302
S: 0.8209 0.6396 0.0302
S: 0.3294 0.6468 0.5593
S: 0.4131 0.3762 0.6826
S: 0.5869 0.6238 0.3174
S: 0.0869 0.8762 0.6826
S: 0.1706 0.1468 0.5593
S: 0.8294 0.8532 0.4407
S: 0.1791 0.3604 0.9698
S: 0.3209 0.8604 0.9698
S: 0.6706 0.3532 0.4407
S: 0.9131 0.1238 0.3174

Model iii:
Density functional theory data (PBE-GGA) for an optimized crystal structure of CsGaS3.

Cell lengths 5.6597, 5.6597, 5.6597 Å; angles 90.00, 90.00, 90.00 degrees
Atoms (fractional coordinates):
Cs: 0.0000 0.0000 0.0000
S: 0.0000 0.5000 0.0000
S: 0.0000 0.0000 0.5000
S: 0.5000 0.0000 0.0000
Ga: 0.5000 0.5000 0.5000

It is model iii that is the least stable of them.

Model i:
Density functional theory data (PBE-GGA) for an optimized crystal structure of Cs2GaSb2.

Cell lengths 8.5529, 11.4057, 18.3875 Å; angles 90.00, 90.00, 90.00 degrees
Atoms (fractional coordinates):
Cs: 0.8704 0.4496 0.3666
Cs: 0.3704 0.5504 0.1334
Cs: 0.1296 0.9496 0.6334
Cs: 0.6296 0.0504 0.8666
Cs: 0.1296 0.5504 0.6334
Cs: 0.6296 0.4496 0.8666
Cs: 0.8704 0.0504 0.3666
Cs: 0.3704 0.9496 0.1334
Cs: 0.3772 0.4657 0.3719
Cs: 0.8772 0.5343 0.1281
Cs: 0.6228 0.9657 0.6281
Cs: 0.1228 0.0343 0.8719
Cs: 0.6228 0.5343 0.6281
Cs: 0.1228 0.4657 0.8719
Cs: 0.3772 0.0343 0.3719
Cs: 0.8772 0.9657 0.1281
Ga: 0.1083 0.7500 0.4213
Ga: 0.6083 0.2500 0.0787
Ga: 0.3917 0.7500 0.9213
Ga: 0.8592 0.7500 0.9208
Ga: 0.3592 0.2500 0.5792
Ga: 0.1408 0.2500 0.0792
Ga: 0.6408 0.7500 0.4208
Ga: 0.8917 0.2500 0.5787
Sb: 0.7034 0.7500 0.2812
Sb: 0.3738 0.2500 0.9879
Sb: 0.1262 0.2500 0.4879
Sb: 0.8738 0.7500 0.5121
Sb: 0.4553 0.7500 0.7816
Sb: 0.9553 0.2500 0.7184
Sb: 0.5447 0.2500 0.2184
Sb: 0.0447 0.7500 0.2816
Sb: 0.2034 0.2500 0.2188
Sb: 0.2966 0.2500 0.7188
Sb: 0.7966 0.7500 0.7812
Sb: 0.3751 0.7500 0.4945
Sb: 0.1249 0.7500 0.9945
Sb: 0.6249 0.2500 0.5055
Sb: 0.6262 0.7500 0.0121
Sb: 0.8751 0.2500 0.0055

Model ii:
Density functional theory data (PBE-GGA) for an optimized crystal structure of Cs2GaSb2.

Cell lengths 11.5289, 11.5289, 3.3404 Å; angles 90.00, 90.00, 90.00 degrees
Atoms (fractional coordinates):
Cs: 0.3809 0.8809 0.0000
Cs: 0.8809 0.6191 0.0000
Cs: 0.6191 0.1191 0.0000
Cs: 0.1191 0.3809 0.0000
Sb: 0.1792 0.6792 0.5000
Sb: 0.6792 0.8208 0.5000
Sb: 0.8208 0.3208 0.5000
Sb: 0.3208 0.1792 0.5000
Ga: 0.0000 0.0000 0.0000
Ga: 0.5000 0.5000 0.0000

It is model ii that is the least stable of them.

Model i:
Density functional theory data (PBE-GGA) for an optimized crystal structure of Cs2GaSb2.

Cell lengths 7.2882, 8.0373, 9.5026 Å; angles 115.02, 112.55, 90.00 degrees
Atoms (fractional coordinates):
Cs: 0.8562 0.6782 0.7124
Cs: 0.1438 0.3218 0.2876
Cs: 0.6438 0.9657 0.2876
Cs: 0.3562 0.0343 0.7124
Ga: 0.7500 0.5000 0.0000
Ga: 0.2500 0.5000 0.0000
Sb: 0.4041 0.5760 0.8081
Sb: 0.5959 0.4240 0.1919
Sb: 0.0959 0.7679 0.1919
Sb: 0.9041 0.2321 0.8081

Model ii:
Density functional theory data (PBE-GGA) for an optimized crystal structure of Cs2GaSb2.

Cell lengths 4.3082, 4.3082, 12.4056 Å; angles 80.00, 80.00, 90.00 degrees
Atoms (fractional coordinates):
Cs: 0.3903 0.3903 0.2194
Cs: 0.6097 0.6097 0.7806
Sb: 0.7500 0.2500 0.5000
Sb: 0.2500 0.7500 0.5000
Ga: 0.0000 0.0000 0.0000

It is model ii that is the least stable of them.

Model i:
Density functional theory data (PBE-GGA) for an optimized crystal structure of Cs2GaSb2.

Cell lengths 7.9541, 7.9541, 6.3295 Å; angles 90.00, 90.00, 90.00 degrees
Atoms (fractional coordinates):
Cs: 0.1729 0.6729 0.5000
Cs: 0.6729 0.8271 0.5000
Cs: 0.8271 0.3271 0.5000
Cs: 0.3271 0.1729 0.5000
Sb: 0.3706 0.8706 0.0000
Sb: 0.8706 0.6294 0.0000
Sb: 0.6294 0.1294 0.0000
Sb: 0.1294 0.3706 0.0000
Ga: 0.0000 0.0000 0.0000
Ga: 0.5000 0.5000 0.0000

Model ii:
Density functional theory data (PBE-GGA) for an optimized crystal structure of Cs2GaSb2.

Cell lengths 7.3894, 8.4511, 10.5263 Å; angles 60.02, 59.57, 58.29 degrees
Atoms (fractional coordinates):
Cs: 0.0242 0.3139 0.8489
Cs: 0.4560 0.6918 0.6618
Cs: 0.9758 0.6861 0.1511
Cs: 0.5440 0.3082 0.3382
Ga: 0.1775 0.0589 0.3254
Ga: 0.8225 0.9411 0.6746
Sb: 0.4558 0.1572 0.0449
Sb: 0.0419 0.7618 0.4600
Sb: 0.5442 0.8428 0.9551
Sb: 0.9581 0.2382 0.5400

It is model i that is the least stable of them.

Model i:
Density functional theory data (PBE-GGA) for an optimized crystal structure of Cs3GaSb2.

Cell lengths 9.2829, 7.5980, 10.0396 Å; angles 112.23, 117.54, 90.00 degrees
Atoms (fractional coordinates):
Cs: 0.3683 0.6725 0.3450
Cs: 0.6317 0.3275 0.6550
Cs: 0.0233 0.8275 0.6550
Cs: 0.9767 0.1725 0.3450
Cs: 0.5000 0.7500 0.0000
Cs: 0.5000 0.2500 0.0000
Ga: 0.0000 0.2500 0.0000
Ga: 0.0000 0.7500 0.0000
Sb: 0.2537 0.0840 0.1680
Sb: 0.7463 0.9160 0.8320
Sb: 0.0857 0.4160 0.8320
Sb: 0.9143 0.5840 0.1680

Model ii:
Density functional theory data (PBE-GGA) for an optimized crystal structure of Cs3GaSb2.

Cell lengths 4.5568, 11.3758, 13.3220 Å; angles 72.58, 80.15, 78.45 degrees
Atoms (fractional coordinates):
Cs: 0.0411 0.1667 0.7511
Cs: 0.9589 0.8333 0.2489
Cs: 0.6631 0.6769 0.9970
Cs: 0.3369 0.3231 0.0030
Cs: 0.7817 0.8148 0.6217
Cs: 0.2183 0.1852 0.3783
Ga: 0.4283 0.4930 0.6503
Ga: 0.5717 0.5070 0.3497
Sb: 0.8672 0.4880 0.7775
Sb: 0.1328 0.5120 0.2225
Sb: 0.5735 0.3169 0.5360
Sb: 0.4265 0.6831 0.4640

It is model ii that is the least stable of them.

Model i:
Density functional theory data (PBE-GGA) for an optimized crystal structure of Cs2Ga2Sb.

Cell lengths 8.4195, 9.1204, 6.6330 Å; angles 79.24, 66.14, 62.51 degrees
Atoms (fractional coordinates):
Cs: 0.5342 0.2784 0.6783
Cs: 0.4658 0.7216 0.3217
Cs: 0.8126 0.7216 0.6783
Cs: 0.1874 0.2784 0.3217
Ga: 0.9950 0.0000 0.2765
Ga: 0.7395 0.0000 0.1309
Ga: 0.2605 0.0000 0.8691
Ga: 0.0050 0.0000 0.7235
Sb: 0.1416 0.7167 0.0000
Sb: 0.8584 0.2833 0.0000

Model ii:
Density functional theory data (PBE-GGA) for an optimized crystal structure of Cs2Ga2Sb.

Cell lengths 7.5851, 7.5851, 6.2423 Å; angles 90.00, 90.00, 90.00 degrees
Atoms (fractional coordinates):
Cs: 0.1956 0.6956 0.5000
Cs: 0.6956 0.8044 0.5000
Cs: 0.8044 0.3044 0.5000
Cs: 0.3044 0.1956 0.5000
Sb: 0.0000 0.0000 0.0000
Sb: 0.5000 0.5000 0.0000
Ga: 0.3802 0.8802 0.0000
Ga: 0.8802 0.6198 0.0000
Ga: 0.6198 0.1198 0.0000
Ga: 0.1198 0.3802 0.0000

It is model ii that is the least stable of them.

Model i:
Density functional theory data (PBE-GGA) for an optimized crystal structure of Cs2GaSb.

Cell lengths 6.3141, 6.3141, 6.3141 Å; angles 60.00, 60.00, 60.00 degrees
Atoms (fractional coordinates):
Cs: 0.2500 0.2500 0.2500
Cs: 0.7500 0.7500 0.7500
Sb: 0.5000 0.5000 0.5000
Ga: 0.0000 0.0000 0.0000

Model ii:
Density functional theory data (PBE-GGA) for an optimized crystal structure of Cs2GaSb.

Cell lengths 10.5811, 11.4757, 8.2743 Å; angles 133.91, 90.00, 90.00 degrees
Atoms (fractional coordinates):
Cs: 0.7499 0.0008 0.0012
Cs: 0.2499 0.4992 0.9988
Cs: 0.2501 0.9992 0.9988
Cs: 0.7501 0.5008 0.0012
Cs: 0.8226 0.5017 0.5033
Cs: 0.3226 0.9983 0.4967
Cs: 0.1774 0.4983 0.4967
Cs: 0.6774 0.0017 0.5033
Ga: 0.5006 0.3558 0.2120
Ga: 0.0006 0.1442 0.7880
Ga: 0.4994 0.6442 0.7880
Ga: 0.9994 0.8558 0.2120
Sb: 0.5000 0.3099 0.5004
Sb: 0.0000 0.1901 0.4996
Sb: 0.5000 0.6901 0.4996
Sb: 0.0000 0.8099 0.5004

Model iii:
Density functional theory data (PBE-GGA) for an optimized crystal structure of Cs2GaSb.

Cell lengths 6.3830, 7.5588, 7.5588 Å; angles 105.08, 90.00, 90.00 degrees
Atoms (fractional coordinates):
Cs: 0.7500 0.0162 0.6793
Cs: 0.2500 0.9838 0.3207
Cs: 0.2500 0.3207 0.9838
Cs: 0.7500 0.6793 0.0162
Ga: 0.0000 0.5000 0.5000
Ga: 0.5000 0.5000 0.5000
Sb: 0.7500 0.2271 0.2271
Sb: 0.2500 0.7729 0.7729

It is model i that is the least stable of them.

Model i:
Density functional theory data (PBE-GGA) for an optimized crystal structure of CsGaSb.

Cell lengths 4.4759, 5.3672, 10.1392 Å; angles 90.00, 102.75, 90.00 degrees
Atoms (fractional coordinates):
Cs: 0.6770 0.7500 0.3541
Cs: 0.3230 0.2500 0.6459
Ga: 0.5303 0.2500 0.0607
Ga: 0.4697 0.7500 0.9393
Sb: 0.8951 0.7500 0.7901
Sb: 0.1049 0.2500 0.2099

Model ii:
Density functional theory data (PBE-GGA) for an optimized crystal structure of CsGaSb.

Cell lengths 6.4502, 4.5361, 4.5361 Å; angles 120.00, 90.00, 90.00 degrees
Atoms (fractional coordinates):
Cs: 0.6805 0.6667 0.3333
Sb: 0.2267 0.3333 0.6667
Ga: 0.0927 0.0000 0.0000

It is model i that is the least stable of them.

Model i:
Density functional theory data (PBE-GGA) for an optimized crystal structure of CsGaSb.

Cell lengths 3.9790, 3.9790, 7.3264 Å; angles 105.76, 105.76, 90.00 degrees
Atoms (fractional coordinates):
Cs: 0.0010 0.0010 0.0020
Sb: 0.7146 0.7146 0.4291
Ga: 0.2844 0.2844 0.5689

Model ii:
Density functional theory data (PBE-GGA) for an optimized crystal structure of CsGaSb.

Cell lengths 4.5072, 8.0790, 7.3596 Å; angles 79.98, 107.87, 73.80 degrees
Atoms (fractional coordinates):
Ga: 0.1215 0.0557 0.2994
Ga: 0.8785 0.9443 0.7006
Sb: 0.5611 0.2409 0.3651
Sb: 0.4389 0.7591 0.6349
Cs: 0.7508 0.6955 0.1982
Cs: 0.2492 0.3045 0.8018

Model iii:
Density functional theory data (PBE-GGA) for an optimized crystal structure of CsGaSb.

Cell lengths 5.2373, 9.8549, 10.1585 Å; angles 120.97, 90.00, 90.00 degrees
Atoms (fractional coordinates):
Cs: 0.2500 0.6676 0.9591
Cs: 0.2500 0.6676 0.4591
Cs: 0.7500 0.3324 0.0409
Cs: 0.7500 0.3324 0.5409
Ga: 0.7500 0.0072 0.6286
Ga: 0.7500 0.0072 0.1286
Ga: 0.2500 0.9928 0.3714
Ga: 0.2500 0.9928 0.8714
Sb: 0.2500 0.1592 0.7045
Sb: 0.7500 0.8408 0.7955
Sb: 0.7500 0.8408 0.2955
Sb: 0.2500 0.1592 0.2045

It is model i that is the least stable of them.